Record 1
Be2SiP after structural relaxation. Source: Alexandria via LeMat-Bulk, functional PBE.

**Crystal system**: tetragonal
**DFT total energy**: -4.54 eV/atom
**Distance to the lowest polymorph of the same formula**: 0.0021 eV per atom
**Formation energy (no corrections)**: 29 meV/atom

abc: 3.5759 3.5759 9.5809
angles: 90.00 90.00 90.00
Space group I4mm (No. 107)
Asymmetric unit:
Be 0.0000 0.5000 0.0000 (multiplicity 4)
Si 0.0000 0.0000 0.3556 (multiplicity 2)
P 0.0000 0.0000 0.1245 (multiplicity 2)

Record 2
Be2SiP after structural relaxation. Source: Alexandria via LeMat-Bulk, functional PBE.

**Crystal system**: monoclinic
**DFT total energy**: -4.37 eV/atom
**Distance to the lowest polymorph of the same formula**: 0.1789 eV per atom
**Formation energy (no corrections)**: 206 meV/atom

abc: 7.2081 2.5532 5.7494
angles: 90.00 98.70 90.00
Space group Cm (No. 8)
Asymmetric unit:
Be 0.0000 0.0000 0.0000 (multiplicity 2)
Be 0.1799 0.5000 0.7631 (multiplicity 2)
Si 0.3843 0.0000 0.5943 (multiplicity 2)
P 0.2974 0.0000 0.1637 (multiplicity 2)